Below is CrRu3N after structural relaxation, with properties calculated at the GGA-PBE level.

Lattice parameters (Å, degrees): 3.979 3.979 3.979 90.00 90.00 90.00
Space group Pm-3m (No. 221)
Asymmetric unit:
Cr 0.000 0.000 0.000 [1 per cell]
Ru 0.000 0.500 0.500 [3 per cell]
N 0.500 0.500 0.500 [1 per cell]

Values from the calculation:
Energy relative to the lowest polymorph listed for this composition   0.000 eV per formula unit
Density   9.74 g cm⁻³



Below is CrRu3N after structural relaxation, with properties calculated at the GGA-PBE level.

Lattice parameters (Å, degrees): 4.405 4.405 4.405 90.00 90.00 90.00
Space group Pm-3m (No. 221)
Asymmetric unit:
Cr 0.000 0.000 0.000 [1 per cell]
Ru 0.000 0.000 0.500 [3 per cell]
N 0.500 0.500 0.500 [1 per cell]

Values from the calculation:
Energy relative to the lowest polymorph listed for this composition   10.329 eV per formula unit
Density   7.17 g cm⁻³



Below is CrRu2N after structural relaxation, with properties calculated at the GGA-PBE level.

Lattice parameters (Å, degrees): 4.948 4.948 9.491 90.00 90.00 90.00
Space group I-42d (No. 122)
Asymmetric unit:
Cr 0.000 0.000 0.000 [4 per cell]
Ru 0.190 0.250 0.625 [8 per cell]
N 0.000 0.000 0.500 [4 per cell]

Values from the calculation:
Density   7.66 g cm⁻³
VASP energy   -0.63339 Ry/atom



Below is CrRuN3 after structural relaxation, with properties calculated at the GGA-PBE level.

Lattice parameters (Å, degrees): 3.675 3.675 3.675 90.00 90.00 90.00
Space group Pm-3m (No. 221)
Asymmetric unit:
Cr 0.000 0.000 0.000 [1 per cell]
Ru 0.500 0.500 0.500 [1 per cell]
N 0.000 0.000 0.500 [3 per cell]

Values from the calculation:
Density   6.53 g cm⁻³
VASP energy   -0.56437 Ry/atom